No. 1
# PaGaSn2O8 PBE optimized geometry
data_PaGaSn2O8
_cell_length_a 6.8761
_cell_length_b 6.9538
_cell_length_c 6.4827
_cell_angle_alpha 90.00
_cell_angle_beta 90.00
_cell_angle_gamma 90.00
_symmetry_space_group_name_H-M 'C m m m'
_symmetry_Int_Tables_number 65
_symmetry_space_group_name_Hall '-C 2 2'
loop_
_atom_site_label
_atom_site_fract_x
_atom_site_fract_y
_atom_site_fract_z
Pa1 0.0000 0.0000 0.0000
Ga1 0.0000 0.0000 0.5000
Sn1 0.0000 0.5000 0.2637
O1 0.0000 0.2973 0.5000
O2 0.0000 0.3168 0.0000
O3 0.1944 0.0000 0.2631
# - N(E_F) (states/eV per atom) = 0.00
# - ΔE_f (raw) (meV per atom) = -2176
# - V (Å³ per cell) = 310.0
# - DFT total energy (eV per atom) = -7.192

---

No. 2
# Sr2PaGaO6 PBE optimized geometry
data_Sr2PaGaO6
_cell_length_a 5.8392
_cell_length_b 5.8638
_cell_length_c 10.0922
_cell_angle_alpha 90.00
_cell_angle_beta 125.00
_cell_angle_gamma 90.00
_symmetry_space_group_name_H-M 'P 1 21/c 1'
_symmetry_Int_Tables_number 14
_symmetry_space_group_name_Hall '-P 2ybc'
loop_
_atom_site_label
_atom_site_fract_x
_atom_site_fract_y
_atom_site_fract_z
Sr1 0.2410 0.0294 0.2485
Pa1 0.5000 0.0000 0.0000
Ga1 0.0000 0.0000 0.5000
O1 0.1708 0.2250 0.9628
O2 0.2362 0.7098 0.9624
O3 0.3125 0.0160 0.7416
# - N(E_F) (states/eV per atom) = 0.00
# - ΔE_f (raw) (meV per atom) = -2926
# - V (Å³ per cell) = 283.1
# - DFT total energy (eV per atom) = -7.490

---

No. 3
# SrPaGa2O8 PBE optimized geometry
data_SrPaGa2O8
_cell_length_a 7.1674
_cell_length_b 7.1674
_cell_length_c 6.9654
_cell_angle_alpha 90.00
_cell_angle_beta 90.00
_cell_angle_gamma 90.00
_symmetry_space_group_name_H-M 'I -4 m 2'
_symmetry_Int_Tables_number 119
_symmetry_space_group_name_Hall 'I -4 -2'
loop_
_atom_site_label
_atom_site_fract_x
_atom_site_fract_y
_atom_site_fract_z
Sr1 0.0000 0.0000 0.0000
Pa1 0.0000 0.5000 0.2500
Ga1 0.0000 0.0000 0.5000
Ga2 0.0000 0.5000 0.7500
O1 0.0000 0.1994 0.3244
O2 0.0000 0.3357 0.9518
# - N(E_F) (states/eV per atom) = 1.02
# - ΔE_f (raw) (meV per atom) = -1994
# - V (Å³ per cell) = 357.8
# - DFT total energy (eV per atom) = -6.736

---

No. 4
# Sr3PaGa2O9 PBE optimized geometry
data_Sr3PaGa2O9
_cell_length_a 5.7379
_cell_length_b 5.7379
_cell_length_c 7.2563
_cell_angle_alpha 90.00
_cell_angle_beta 90.00
_cell_angle_gamma 120.00
_symmetry_space_group_name_H-M 'P -3 m 1'
_symmetry_Int_Tables_number 164
_symmetry_space_group_name_Hall '-P 3 2"'
loop_
_atom_site_label
_atom_site_fract_x
_atom_site_fract_y
_atom_site_fract_z
Sr1 0.0000 0.0000 0.0000
Sr2 0.3333 0.6667 0.7176
Pa1 0.0000 0.0000 0.5000
Ga1 0.3333 0.6667 0.1609
O1 0.0000 0.5000 0.0000
O2 0.1702 0.3405 0.3175
# - N(E_F) (states/eV per atom) = 0.64
# - ΔE_f (raw) (meV per atom) = -2583
# - V (Å³ per cell) = 206.9
# - DFT total energy (eV per atom) = -6.931

---

No. 5
# TbPaGaO6 PBE optimized geometry
data_TbPaGaO6
_cell_length_a 5.4342
_cell_length_b 5.4342
_cell_length_c 4.7908
_cell_angle_alpha 90.00
_cell_angle_beta 90.00
_cell_angle_gamma 120.00
_symmetry_space_group_name_H-M 'P 3 1 2'
_symmetry_Int_Tables_number 149
_symmetry_space_group_name_Hall 'P 3 2'
loop_
_atom_site_label
_atom_site_fract_x
_atom_site_fract_y
_atom_site_fract_z
Tb1 0.0000 0.0000 0.0000
Pa1 0.6667 0.3333 0.5000
Ga1 0.3333 0.6667 0.0000
O1 0.0133 0.3678 0.2381
# - N(E_F) (states/eV per atom) = 0.76
# - ΔE_f (raw) (meV per atom) = -2703
# - V (Å³ per cell) = 122.5
# - DFT total energy (eV per atom) = -7.915

---

No. 6
# PaGa2TeO8 PBE optimized geometry
data_PaGa2TeO8
_cell_length_a 6.8345
_cell_length_b 6.8345
_cell_length_c 6.6929
_cell_angle_alpha 90.00
_cell_angle_beta 90.00
_cell_angle_gamma 90.00
_symmetry_space_group_name_H-M 'I -4 m 2'
_symmetry_Int_Tables_number 119
_symmetry_space_group_name_Hall 'I -4 -2'
loop_
_atom_site_label
_atom_site_fract_x
_atom_site_fract_y
_atom_site_fract_z
Pa1 0.0000 0.0000 0.0000
Ga1 0.0000 0.0000 0.5000
Ga2 0.0000 0.5000 0.7500
Te1 0.0000 0.5000 0.2500
O1 0.0000 0.1923 0.3034
O2 0.0000 0.3163 0.9532
# - N(E_F) (states/eV per atom) = 0.15
# - ΔE_f (raw) (meV per atom) = -1949
# - V (Å³ per cell) = 312.6
# - DFT total energy (eV per atom) = -6.812

---

No. 7
# ThPaGa2O8 PBE optimized geometry
data_ThPaGa2O8
_cell_length_a 7.0636
_cell_length_b 7.0636
_cell_length_c 6.7996
_cell_angle_alpha 90.00
_cell_angle_beta 90.00
_cell_angle_gamma 90.00
_symmetry_space_group_name_H-M 'I -4 m 2'
_symmetry_Int_Tables_number 119
_symmetry_space_group_name_Hall 'I -4 -2'
loop_
_atom_site_label
_atom_site_fract_x
_atom_site_fract_y
_atom_site_fract_z
Th1 0.0000 0.0000 0.0000
Pa1 0.0000 0.5000 0.2500
Ga1 0.0000 0.0000 0.5000
Ga2 0.0000 0.5000 0.7500
O1 0.0000 0.1922 0.3115
O2 0.0000 0.3205 0.9479
# - N(E_F) (states/eV per atom) = 0.33
# - ΔE_f (raw) (meV per atom) = -2682
# - V (Å³ per cell) = 339.3
# - DFT total energy (eV per atom) = -7.902

---

No. 8
# PaTiGa2O8 PBE optimized geometry
data_PaTiGa2O8
_cell_length_a 6.6184
_cell_length_b 6.6184
_cell_length_c 6.7245
_cell_angle_alpha 90.00
_cell_angle_beta 90.00
_cell_angle_gamma 90.00
_symmetry_space_group_name_H-M 'I -4 m 2'
_symmetry_Int_Tables_number 119
_symmetry_space_group_name_Hall 'I -4 -2'
loop_
_atom_site_label
_atom_site_fract_x
_atom_site_fract_y
_atom_site_fract_z
Pa1 0.0000 0.0000 0.0000
Ti1 0.0000 0.5000 0.2500
Ga1 0.0000 0.0000 0.5000
Ga2 0.0000 0.5000 0.7500
O1 0.0000 0.2045 0.3089
O2 0.0000 0.3164 0.9526
# - N(E_F) (states/eV per atom) = 0.62
# - ΔE_f (raw) (meV per atom) = -2348
# - V (Å³ per cell) = 294.6
# - DFT total energy (eV per atom) = -7.607

---

No. 9
# PaTlGa2O6 PBE optimized geometry
data_PaTlGa2O6
_cell_length_a 10.7832
_cell_length_b 10.1250
_cell_length_c 6.0140
_cell_angle_alpha 90.00
_cell_angle_beta 103.29
_cell_angle_gamma 90.00
_symmetry_space_group_name_H-M 'C 1 2/c 1'
_symmetry_Int_Tables_number 15
_symmetry_space_group_name_Hall '-C 2yc'
loop_
_atom_site_label
_atom_site_fract_x
_atom_site_fract_y
_atom_site_fract_z
Pa1 0.0000 0.1089 0.2500
Tl1 0.0000 0.3389 0.7500
Ga1 0.2111 0.4180 0.3012
O1 0.1086 0.0536 0.6163
O2 0.1426 0.2470 0.2577
O3 0.1469 0.4949 0.5293
# - N(E_F) (states/eV per atom) = 0.00
# - ΔE_f (raw) (meV per atom) = -2240
# - V (Å³ per cell) = 639.0
# - DFT total energy (eV per atom) = -7.006

---

No. 10
# Pa3Tl2GaO12 PBE optimized geometry
data_Pa3Tl2GaO12
_cell_length_a 8.1185
_cell_length_b 8.1185
_cell_length_c 18.3758
_cell_angle_alpha 90.00
_cell_angle_beta 90.00
_cell_angle_gamma 120.00
_symmetry_space_group_name_H-M 'R -3 m'
_symmetry_Int_Tables_number 166
_symmetry_space_group_name_Hall '-R 3 2"'
loop_
_atom_site_label
_atom_site_fract_x
_atom_site_fract_y
_atom_site_fract_z
Pa1 0.0000 0.5000 0.0000
Tl1 0.0000 0.0000 0.1659
Ga1 0.0000 0.0000 0.5000
O1 0.0933 0.5467 0.3660
O2 0.1002 0.5501 0.1059
# - N(E_F) (states/eV per atom) = 0.72
# - ΔE_f (raw) (meV per atom) = -2214
# - V (Å³ per cell) = 1048.9
# - DFT total energy (eV per atom) = -7.534

---

No. 11
# PaTl4Ga3O12 PBE optimized geometry
data_PaTl4Ga3O12
_cell_length_a 8.0929
_cell_length_b 8.0929
_cell_length_c 8.0929
_cell_angle_alpha 90.00
_cell_angle_beta 90.00
_cell_angle_gamma 90.00
_symmetry_space_group_name_H-M 'I m -3 m'
_symmetry_Int_Tables_number 229
_symmetry_space_group_name_Hall '-I 4 2 3'
loop_
_atom_site_label
_atom_site_fract_x
_atom_site_fract_y
_atom_site_fract_z
Pa1 0.0000 0.0000 0.0000
Tl1 0.2500 0.2500 0.2500
Ga1 0.0000 0.0000 0.5000
O1 0.0000 0.0000 0.2619
O2 0.0000 0.2500 0.5000
# - N(E_F) (states/eV per atom) = 0.68
# - ΔE_f (raw) (meV per atom) = -1282
# - V (Å³ per cell) = 530.1
# - DFT total energy (eV per atom) = -5.659

---

No. 12
# PaTl3Ga2O8 PBE optimized geometry
data_PaTl3Ga2O8
_cell_length_a 5.9692
_cell_length_b 5.9692
_cell_length_c 7.4962
_cell_angle_alpha 90.00
_cell_angle_beta 90.00
_cell_angle_gamma 120.00
_symmetry_space_group_name_H-M 'P -3 m 1'
_symmetry_Int_Tables_number 164
_symmetry_space_group_name_Hall '-P 3 2"'
loop_
_atom_site_label
_atom_site_fract_x
_atom_site_fract_y
_atom_site_fract_z
Pa1 0.0000 0.0000 0.0000
Tl1 0.0000 0.0000 0.5000
Tl2 0.3333 0.6667 0.1924
Ga1 0.3333 0.6667 0.7204
O1 0.1693 0.3386 0.8281
O2 0.3333 0.6667 0.4810
# - N(E_F) (states/eV per atom) = 0.64
# - ΔE_f (raw) (meV per atom) = -1632
# - V (Å³ per cell) = 231.3
# - DFT total energy (eV per atom) = -6.083

---

What is the formula in the fifth record?
TbPaGaO6

---

Copy entry 8 word for word.
# PaTiGa2O8 PBE optimized geometry
data_PaTiGa2O8
_cell_length_a 6.6184
_cell_length_b 6.6184
_cell_length_c 6.7245
_cell_angle_alpha 90.00
_cell_angle_beta 90.00
_cell_angle_gamma 90.00
_symmetry_space_group_name_H-M 'I -4 m 2'
_symmetry_Int_Tables_number 119
_symmetry_space_group_name_Hall 'I -4 -2'
loop_
_atom_site_label
_atom_site_fract_x
_atom_site_fract_y
_atom_site_fract_z
Pa1 0.0000 0.0000 0.0000
Ti1 0.0000 0.5000 0.2500
Ga1 0.0000 0.0000 0.5000
Ga2 0.0000 0.5000 0.7500
O1 0.0000 0.2045 0.3089
O2 0.0000 0.3164 0.9526
# - N(E_F) (states/eV per atom) = 0.62
# - ΔE_f (raw) (meV per atom) = -2348
# - V (Å³ per cell) = 294.6
# - DFT total energy (eV per atom) = -7.607